Record 1
Sr8PPd3I4 | GGA-PBE | optimized geometry

Geometry as POSCAR:
```
Sr8PPd3I4
1.0
8.9858 0.0000 0.0000
0.0000 9.6809 0.4845
-4.4929 -4.4889 6.3579
Sr I Pd P
8 4 3 1
direct
0.7693 0.3046 0.5386 Sr
0.2660 0.3046 0.0353 Sr
0.7340 0.6954 0.9647 Sr
0.2307 0.6954 0.4614 Sr
0.2307 0.6954 0.9647 Sr
0.7354 0.7061 0.4707 Sr
0.2646 0.2939 0.5293 Sr
0.7693 0.3046 0.0353 Sr
0.5000 0.0000 0.5000 I
0.0000 0.0000 0.5000 I
0.0000 0.0000 0.0000 I
0.5000 0.0000 0.0000 I
0.5000 0.5000 0.5000 Pd
0.0000 0.5000 0.5000 Pd
0.5000 0.5000 0.0000 Pd
0.0000 0.5000 0.0000 P
```

Energy relative to the elements, uncorrected, eV/atom: -1.05
Symmetry: No. 166

Record 2
LiTl8Cd2 | GGA-PBE | optimized geometry

Geometry as POSCAR:
```
LiTl8Cd2
1.0
-0.3026 -4.1930 4.3131
7.5540 0.3164 2.7814
2.0353 4.4421 6.4051
Tl Cd Li
8 2 1
direct
0.6543 0.6567 0.6567 Tl
0.2148 0.7698 0.3586 Tl
0.2148 0.3586 0.7698 Tl
0.7852 0.2302 0.6414 Tl
0.9273 0.2193 0.2193 Tl
0.3457 0.3433 0.3433 Tl
0.7852 0.6414 0.2302 Tl
0.0727 0.7807 0.7807 Tl
0.5309 0.1114 0.1114 Cd
0.4691 0.8886 0.8886 Cd
0.0000 0.0000 0.0000 Li
```

ΔH_f (0 K), meV/atom: 40
Symmetry: No. 12

Total DFT energy (no corrections) (eV per formula unit)
-57.424, -22.233
Size of the total moment (Bohr magnetons per cell)
0.0, 0.0
DOS(E_F) (states/eV/cell)
6.8, 5.9